[1]
Computed, not measured: a relaxed CePt4Au2 crystal at the PBE level of DFT.

abc: 8.248 8.248 5.258
angles: 90.00 90.00 90.00
Space group I4/mmm (No. 139)
Asymmetric unit:
Ce 0.000 0.000 0.000 [2 per cell]
Pt 0.000 0.218 0.500 [8 per cell]
Au 0.000 0.500 0.250 [4 per cell]

energy relative to the elements	13.7	kJ/mol of atoms
E above lowest polymorph	0.598	eV per atom
calculated total energy	-5.094	eV/atom

[2]
Computed, not measured: a relaxed Be7Ag5 crystal at the PBE level of DFT.

abc: 7.787 7.787 5.171
angles: 90.00 90.00 90.00
Space group I4mm (No. 107)
Asymmetric unit:
Be 0.000 0.000 0.000 [2 per cell]
Be 0.000 0.240 0.209 [8 per cell]
Be 0.000 0.500 0.470 [4 per cell]
Ag 0.000 0.000 0.503 [2 per cell]
Ag 0.205 0.205 0.837 [8 per cell]

energy relative to the elements	32.0	kJ/mol of atoms
calculated total energy	-3.030	eV/atom

[3]
Computed, not measured: a relaxed TmHg2Br4 crystal at the PBE level of DFT.

abc: 5.508 5.508 17.491
angles: 90.00 90.00 90.00
Space group I4/mmm (No. 139)
Asymmetric unit:
Tm 0.000 0.000 0.000 [2 per cell]
Hg 0.000 0.000 0.341 [4 per cell]
Br 0.000 0.000 0.156 [4 per cell]
Br 0.000 0.500 0.000 [4 per cell]

formation energy without anion corrections	-0.933	eV/atom
calculated total energy	-2.614	eV/atom

Computed values of M_tot (unit: μB/f.u.) for the preceding records, in sequence: 0.7, 0.0, 0.0.